Below is a relaxed structure of RbLa3B, with properties calculated at the PBEsol level.

## Properties
Magnetization = 0.0000 μB/atom
E_tot = -14.697 eV/cell
DOS at the Fermi energy = 1.1050 states/eV per atom
Space group = Pm-3m

Lattice parameters (Å, degrees): 5.4511 5.4511 5.4511 90.00 90.00 90.00
Fractional coordinates of all 5 atoms:
Rb 0.0000 0.0000 0.0000
La 0.0000 0.0000 0.5000
La 0.0000 0.5000 0.0000
La 0.5000 0.0000 0.0000
B 0.5000 0.5000 0.5000